PBE PmU2Se6, relaxed; E_form (uncorrected) = -1.1881 eV per atom; volume = 31.54 Å³/atom; calculated total energy = -58.9 eV/cell
1.0
5.4299 0.0000 0.0000
2.7150 7.0021 -0.6671
2.7150 2.0868 7.2668
Pm U Se
1 2 6
Direct
0.0000 0.5000 0.5000
0.1823 0.7395 0.8958
0.8177 0.2605 0.1042
0.7383 0.6430 0.8805
0.2617 0.3570 0.1195
0.9578 0.8609 0.2235
0.3686 0.7114 0.5513
0.0422 0.1391 0.7765
0.6314 0.2886 0.4487

=====

PBE Pm2U3Se8, relaxed; E_form (uncorrected) = -1.3270 eV per atom; polymorph energy (0 for the lowest one) = 2.03 kJ per mole of atoms; volume = 31.29 Å³/atom; calculated total energy = -88.5 eV/cell
1.0
7.0654 0.0000 0.2080
0.0000 8.2231 0.0000
-2.6126 -4.1115 6.9243
Pm U Se
2 3 8
Direct
0.3328 0.2582 0.5164
0.6672 0.7418 0.4836
0.5000 0.0000 0.0000
0.0000 0.2591 0.0000
0.0000 0.7409 0.0000
0.9099 0.6155 0.2310
0.0901 0.3845 0.7690
0.9197 0.1162 0.2324
0.0803 0.8838 0.7676
0.5896 0.6376 0.7536
0.5896 0.1160 0.7536
0.4104 0.8840 0.2464
0.4104 0.3624 0.2464

=====

PBE PmUSe2, relaxed; E_form (uncorrected) = -1.3143 eV per atom; polymorph energy (0 for the lowest one) = 8.33 kJ per mole of atoms; volume = 25.19 Å³/atom; calculated total energy = -56.5 eV/cell
1.0
-1.5166 0.4327 3.9426
3.1859 -1.8663 1.4304
4.0941 11.4345 0.3199
Pm U Se
2 2 4
Direct
0.2500 0.4267 0.8534
0.7500 0.5733 0.1466
0.2500 0.1877 0.3755
0.7500 0.8123 0.6245
0.7500 0.6922 0.3844
0.2500 0.3078 0.6156
0.7500 0.9378 0.8756
0.2500 0.0622 0.1244

=====

PBE PmUSe2, relaxed; E_form (uncorrected) = -1.4007 eV per atom; polymorph energy (0 for the lowest one) = 0.00 kJ per mole of atoms; volume = 24.92 Å³/atom; calculated total energy = -28.6 eV/cell
1.0
-0.7433 2.9529 -2.7013
-3.7371 0.4466 -1.5504
-3.1260 5.4628 3.7648
U Se Pm
1 2 1
Direct
0.0000 0.0000 0.0000
0.7478 0.7478 0.7566
0.2522 0.2522 0.2434
0.5000 0.5000 0.5000

=====

PBE PmUSe3, relaxed; E_form (uncorrected) = -1.5123 eV per atom; polymorph energy (0 for the lowest one) = 0.00 kJ per mole of atoms; volume = 25.72 Å³/atom; calculated total energy = -136.2 eV/cell
1.0
4.0929 0.0000 0.0000
0.0000 7.8007 0.0000
0.0000 0.0000 16.1146
Pm U Se
4 4 12
Direct
0.7500 0.8890 0.7939
0.2500 0.1110 0.2061
0.7500 0.3890 0.7061
0.2500 0.6110 0.2939
0.2500 0.2654 0.9615
0.2500 0.7654 0.5385
0.7500 0.2346 0.4615
0.7500 0.7346 0.0385
0.2500 0.3788 0.5687
0.7500 0.8310 0.2176
0.7500 0.4932 0.8967
0.7500 0.9932 0.6033
0.7500 0.6212 0.4313
0.2500 0.0068 0.3967
0.2500 0.8788 0.9313
0.7500 0.3310 0.2824
0.2500 0.6690 0.7176
0.2500 0.1690 0.7824
0.7500 0.1212 0.0687
0.2500 0.5068 0.1033

=====

PBE Pm5USe6, relaxed; E_form (uncorrected) = -1.6837 eV per atom; volume = 25.77 Å³/atom; calculated total energy = -76.2 eV/cell
1.0
0.0201 5.7984 4.3597
4.7527 -1.0331 5.3566
6.8642 2.0847 -0.8020
U Se Pm
1 6 5
Direct
0.0000 0.0000 0.0000
0.7542 0.0824 0.3263
0.2458 0.5912 0.3263
0.2508 0.2446 0.0000
0.7492 0.7554 0.0000
0.7542 0.4088 0.6737
0.2458 0.9176 0.6737
0.5000 0.1732 0.6536
0.0000 0.3319 0.3362
0.5000 0.5000 0.0000
0.0000 0.6681 0.6638
0.5000 0.8268 0.3464

=====

The highest E_form (uncorrected) belongs to which entry? PmU2Se6

=====

Which value of calculated total energy does entry 2 give? -88.5 eV/cell

=====

Which of these has the highest E_form (uncorrected)? PmU2Se6